Entry 1:
VASP calculation (PBE) on Y2MnOs3 after structural relaxation.

Computed properties:
Calculated density = 12.39 Mg/m³
E_form = -0.2626 eV per atom
Crystal system = trigonal

Cell lengths 5.3456, 5.3456, 13.0476 Å; angles 90.00, 90.00, 120.00 degrees
Space group R-3m (No. 166, hexagonal axes)
Inequivalent atoms, fractional coordinates:
Y 0.0000 0.0000 0.1235 [6 per cell]
Mn 0.0000 0.0000 0.5000 [3 per cell]
Os 0.0000 0.5000 0.0000 [9 per cell]

Entry 2:
VASP calculation (PBE) on Yb5Mg after structural relaxation.

Computed properties:
Energy above the lowest structure with this stoichiometry = 9 meV per atom
Calculated density = 7.35 Mg/m³
E_form = -0.1119 eV per atom
Crystal system = trigonal

Cell lengths 6.2647, 6.2647, 17.7294 Å; angles 90.00, 90.00, 120.00 degrees
Space group R32 (No. 155, hexagonal axes)
Inequivalent atoms, fractional coordinates:
Yb 0.0000 0.0000 0.1654 [6 per cell]
Yb 0.0000 0.3399 0.0000 [9 per cell]
Mg 0.0000 0.0000 0.5000 [3 per cell]

Entry 3:
VASP calculation (PBE) on TiGaW after structural relaxation.

Computed properties:
Energy above the lowest structure with this stoichiometry = 112 meV per atom
Calculated density = 10.47 Mg/m³
E_form = -0.0216 eV per atom
Crystal system = trigonal

Cell lengths 4.5172, 4.5172, 2.7050 Å; angles 90.00, 90.00, 120.00 degrees
Space group P3m1 (No. 156)
Inequivalent atoms, fractional coordinates:
Ti 0.0000 0.0000 0.0000 [1 per cell]
Ga 0.3333 0.6667 0.6367 [1 per cell]
W 0.6667 0.3333 0.3267 [1 per cell]

Entry 4:
VASP calculation (PBE) on Al2CuSi after structural relaxation.

Computed properties:
Uncorrected formation energy = 0.047 eV per atom
Calculated density = 4.13 Mg/m³
Crystal system = monoclinic

Cell lengths 8.9936, 2.7889, 4.7949 Å; angles 90.00, 103.45, 90.00 degrees
Space group Cm (No. 8)
Inequivalent atoms, fractional coordinates:
Al 0.0000 0.0000 0.0000 [2 per cell]
Al 0.2354 0.0000 0.7049 [2 per cell]
Cu 0.2492 0.5000 0.2029 [2 per cell]
Si 0.4764 0.0000 0.4815 [2 per cell]

Entry 5:
VASP calculation (PBE) on Sm4TmTe7 after structural relaxation.

Computed properties:
Uncorrected formation energy = -1.401 eV per atom
Calculated density = 6.89 Mg/m³
Crystal system = monoclinic

Cell lengths 14.4839, 4.2970, 13.3073 Å; angles 90.00, 104.46, 90.00 degrees
Space group Cm (No. 8)
Inequivalent atoms, fractional coordinates:
Sm 0.0000 0.0000 0.0000 [2 per cell]
Sm 0.0864 0.5000 0.3843 [2 per cell]
Sm 0.1856 0.0000 0.7646 [2 per cell]
Sm 0.3855 0.5000 0.5718 [2 per cell]
Tm 0.2710 0.5000 0.1501 [2 per cell]
Te 0.0473 0.5000 0.6228 [2 per cell]
Te 0.1306 0.5000 0.9289 [2 per cell]
Te 0.1498 0.0000 0.2232 [2 per cell]
Te 0.2236 0.0000 0.5256 [2 per cell]
Te 0.3491 0.5000 0.7903 [2 per cell]
Te 0.3821 0.0000 0.0770 [2 per cell]
Te 0.4213 0.5000 0.3527 [2 per cell]

Entry 6:
VASP calculation (PBE) on Rb3Pa3SnTe8 after structural relaxation.

Computed properties:
Uncorrected formation energy = -0.857 eV per atom
Calculated density = 5.65 Mg/m³
Crystal system = trigonal

Cell lengths 9.0422, 9.0422, 26.0022 Å; angles 90.00, 90.00, 120.00 degrees
Space group R-3m (No. 166, hexagonal axes)
Inequivalent atoms, fractional coordinates:
Rb 0.0000 0.5000 0.0000 [9 per cell]
Pa 0.0000 0.5000 0.5000 [9 per cell]
Sn 0.0000 0.0000 0.5000 [3 per cell]
Te 0.0000 0.0000 0.2343 [6 per cell]
Te 0.0114 0.5057 0.7667 [18 per cell]

Entry 7:
VASP calculation (PBE) on Dy2Pd2Se after structural relaxation.

Computed properties:
Uncorrected formation energy = -1.075 eV per atom
Calculated density = 8.89 Mg/m³
Crystal system = monoclinic

Cell lengths 7.2176, 4.5560, 7.4532 Å; angles 90.00, 110.01, 90.00 degrees
Space group C2/m (No. 12)
Inequivalent atoms, fractional coordinates:
Dy 0.0696 0.0000 0.2520 [4 per cell]
Pd 0.1584 0.5000 0.9535 [4 per cell]
Se 0.0000 0.5000 0.5000 [2 per cell]